Below is a relaxed SrFeBrO2 crystal, with properties calculated at the PBE+U level.

Energy relative to the lowest polymorph listed for this composition   0.0 kJ per mole of atoms
Crystal system   orthorhombic
DFT total energy   -5.6585 eV/atom

abc: 5.452 5.669 7.161
angles: 113.32 90.00 90.00
Last column: magnetic moment on the atom in μB.
Atoms (fractional coordinates):
Sr (0.250, 0.619, 0.238)  0.00
Sr (0.750, 0.381, 0.762)  0.00
O (0.000, 0.225, 0.000)  -0.03
O (0.500, 0.225, 0.000)  -0.03
O (0.500, 0.775, 0.000)  -0.03
O (0.000, 0.775, 0.000)  -0.03
Fe (0.250, 0.988, 0.977)  3.06
Fe (0.750, 0.012, 0.023)  3.06
Br (0.750, 0.749, 0.498)  0.00
Br (0.250, 0.251, 0.502)  0.00